1.
Computed, not measured: a relaxed structure of CuHgS2 at the PBE level of DFT.

Cell lengths 6.5576, 6.5576, 6.5576 Å; angles 132.68, 132.68, 69.15 degrees
With the nearest neighbours (Å) after each atom.
Element x y z (fractional)
Cu 0.3750 0.6250 0.7500  2 S 2.28
Cu 0.6250 0.3750 0.2500  2 S 2.28
Hg 0.1250 0.8750 0.2500  4 S 2.66
Hg 0.8750 0.1250 0.7500  4 S 2.66
S 0.1636 0.4136 0.7500  1 Cu 2.28
S 0.4136 0.1636 0.2500  1 Cu 2.28
S 0.5864 0.8364 0.7500  1 Cu 2.28
S 0.8364 0.5864 0.2500  1 Cu 2.28

Values from the calculation:
Uncorrected formation energy, meV/atom: 48.4

2.
Computed, not measured: a relaxed structure of CuHgS2 at the PBE level of DFT.

Cell lengths 7.2428, 6.0956, 9.6598 Å; angles 90.00, 105.68, 90.00 degrees
With the nearest neighbours (Å) after each atom.
Element x y z (fractional)
Cu 0.2392 0.1600 0.1821  2 S 2.20-2.21
Cu 0.2392 0.3400 0.6821  2 S 2.20-2.21
Cu 0.7608 0.6600 0.3179  2 S 2.20-2.21
Cu 0.7608 0.8400 0.8179  2 S 2.20-2.21
Hg 0.0992 0.0744 0.8705  3 Cu 2.76-2.95
Hg 0.0992 0.4256 0.3705  3 Cu 2.76-2.95
Hg 0.9008 0.5744 0.6295  3 Cu 2.76-2.95
Hg 0.9008 0.9256 0.1295  3 Cu 2.76-2.95
S 0.3468 0.0367 0.6090  1 S 2.01, 1 Cu 2.20
S 0.3468 0.4633 0.1090  1 S 2.01, 1 Cu 2.20
S 0.3704 0.6030 0.8339  1 S 2.01, 1 Cu 2.21
S 0.3704 0.8970 0.3339  1 S 2.01, 1 Cu 2.21
S 0.6296 0.1030 0.6661  1 S 2.01, 1 Cu 2.21
S 0.6296 0.3970 0.1661  1 S 2.01, 1 Cu 2.21
S 0.6532 0.5367 0.8910  1 S 2.01, 1 Cu 2.20
S 0.6532 0.9633 0.3910  1 S 2.01, 1 Cu 2.20

Values from the calculation:
Uncorrected formation energy, meV/atom: 91.9

3.
Computed, not measured: a relaxed structure of Cu2HgS at the PBE level of DFT.

Cell lengths 7.2948, 7.2948, 7.2948 Å; angles 136.73, 136.73, 62.86 degrees
With the nearest neighbours (Å) after each atom.
Element x y z (fractional)
Cu 0.0019 0.6250 0.8769  2 S 2.17
Cu 0.3750 0.2519 0.3769  2 S 2.17
Cu 0.7481 0.1250 0.1231  2 S 2.17
Cu 0.8750 0.9981 0.6231  2 S 2.17
Hg 0.2500 0.7500 0.5000  4 Cu 2.87
Hg 0.5000 0.5000 0.0000  4 Cu 2.87
S 0.0000 0.0000 0.0000  4 Cu 2.17
S 0.7500 0.2500 0.5000  4 Cu 2.17

Values from the calculation:
Distance to the lowest polymorph of the same formula, kJ/mol of formula units: 0
Uncorrected formation energy, meV/atom: -58.8

4.
Computed, not measured: a relaxed structure of CuHgS2 at the PBE level of DFT.

Cell lengths 6.7132, 3.4558, 15.9236 Å; angles 90.00, 90.00, 90.00 degrees
With the nearest neighbours (Å) after each atom.
Element x y z (fractional)
Cu 0.0822 0.2500 0.1171  4 S 2.31-2.32
Cu 0.4178 0.7500 0.6171  4 S 2.31-2.32
Cu 0.5822 0.2500 0.3829  4 S 2.31-2.32
Cu 0.9178 0.7500 0.8829  4 S 2.31-2.32
Hg 0.0881 0.7500 0.3836  2 S 2.39-2.40
Hg 0.4119 0.2500 0.8836  2 S 2.39-2.40
Hg 0.5881 0.7500 0.1164  2 S 2.39-2.40
Hg 0.9119 0.2500 0.6164  2 S 2.39-2.40
S 0.0894 0.2500 0.8198  2 Cu 2.31, 1 Hg 2.39
S 0.2397 0.2500 0.5559  2 Cu 2.32, 1 Hg 2.40
S 0.2603 0.7500 0.0559  2 Cu 2.32, 1 Hg 2.40
S 0.4106 0.7500 0.3198  2 Cu 2.31, 1 Hg 2.39
S 0.5894 0.2500 0.6802  2 Cu 2.31, 1 Hg 2.39
S 0.7397 0.2500 0.9441  2 Cu 2.32, 1 Hg 2.40
S 0.7603 0.7500 0.4441  2 Cu 2.32, 1 Hg 2.40
S 0.9106 0.7500 0.1802  2 Cu 2.31, 1 Hg 2.39

Values from the calculation:
Uncorrected formation energy, meV/atom: -58.9

5.
Computed, not measured: a relaxed structure of CuHg3S at the PBE level of DFT.

Cell lengths 5.3190, 5.3190, 5.3190 Å; angles 90.00, 90.00, 90.00 degrees
With the nearest neighbours (Å) after each atom.
Element x y z (fractional)
Cu 0.0000 0.0000 0.0000  12 Hg 3.76
Hg 0.0000 0.5000 0.5000  2 S 2.66
Hg 0.5000 0.0000 0.5000  2 S 2.66
Hg 0.5000 0.5000 0.0000  2 S 2.66
S 0.5000 0.5000 0.5000  6 Hg 2.66

Values from the calculation:
Distance to the lowest polymorph of the same formula, kJ/mol of formula units: 108
Uncorrected formation energy, meV/atom: 654.5

6.
Computed, not measured: a relaxed structure of CuHgS2 at the PBE level of DFT.

Cell lengths 5.7826, 5.7826, 5.7826 Å; angles 110.48, 110.48, 107.47 degrees
With the nearest neighbours (Å) after each atom.
Element x y z (fractional)
Cu 0.2500 0.2500 0.0000  8 S 2.91
Cu 0.7500 0.7500 0.0000  8 S 2.91
Hg 0.2500 0.7500 0.5000  4 S 2.60
Hg 0.7500 0.2500 0.5000  4 S 2.60
S 0.2105 0.7105 0.9210  2 Hg 2.60, 4 Cu 2.91
S 0.2895 0.2105 0.5000  2 Hg 2.60, 4 Cu 2.91
S 0.7105 0.7895 0.5000  2 Hg 2.60, 4 Cu 2.91
S 0.7895 0.2895 0.0790  2 Hg 2.60, 4 Cu 2.91

Values from the calculation:
Uncorrected formation energy, meV/atom: 475.4

7.
Computed, not measured: a relaxed structure of CuHg3S at the PBE level of DFT.

Cell lengths 5.0456, 5.0456, 5.0456 Å; angles 90.00, 90.00, 90.00 degrees
With the nearest neighbours (Å) after each atom.
Element x y z (fractional)
Cu 0.0000 0.0000 0.0000  6 Hg 2.52
Hg 0.0000 0.0000 0.5000  2 Cu 2.52
Hg 0.0000 0.5000 0.0000  2 Cu 2.52
Hg 0.5000 0.0000 0.0000  2 Cu 2.52
S 0.5000 0.5000 0.5000  12 Hg 3.57

Values from the calculation:
Distance to the lowest polymorph of the same formula, kJ/mol of formula units: 0
Uncorrected formation energy, meV/atom: 429.8

8.
Computed, not measured: a relaxed structure of CuHgS2 at the PBE level of DFT.

Cell lengths 4.3531, 6.4996, 7.4589 Å; angles 66.48, 73.11, 89.96 degrees
With the nearest neighbours (Å) after each atom.
Element x y z (fractional)
Cu 0.0000 0.0000 0.0000  3 S 2.21-2.26
Cu 0.3498 0.8272 0.3000  3 S 2.21-2.25
Hg 0.6909 0.6150 0.8828  2 S 2.45-2.50
Hg 0.9235 0.2135 0.4154  2 S 2.45-2.50
S 0.1815 0.2452 0.6645  1 S 2.11, 1 Cu 2.26
S 0.1973 0.5819 0.6349  1 S 2.11, 1 Cu 2.25
S 0.2022 0.6782 0.1094  2 Cu 2.21-2.24, 1 Hg 2.45
S 0.6607 0.1494 0.1892  2 Cu 2.21-2.24, 1 Hg 2.45

Values from the calculation:
Uncorrected formation energy, meV/atom: -85.8

9.
Computed, not measured: a relaxed structure of CuHgS2 at the PBE level of DFT.

Cell lengths 6.0360, 6.0360, 6.0360 Å; angles 101.99, 101.99, 125.77 degrees
With the nearest neighbours (Å) after each atom.
Element x y z (fractional)
Cu 0.2500 0.7500 0.5000  4 S 2.26
Cu 0.7500 0.2500 0.5000  4 S 2.26
Hg 0.2500 0.2500 0.0000  2 Hg 2.75
Hg 0.7500 0.7500 0.0000  2 Hg 2.75
S 0.1673 0.6673 0.8346  2 Cu 2.26
S 0.3327 0.1673 0.5000  2 Cu 2.26
S 0.6673 0.8327 0.5000  2 Cu 2.26
S 0.8327 0.3327 0.1654  2 Cu 2.26

Values from the calculation:
Uncorrected formation energy, meV/atom: 223.7

10.
Computed, not measured: a relaxed structure of Cu2Hg3S4 at the PBE level of DFT.

Cell lengths 8.1911, 8.1911, 7.0723 Å; angles 90.75, 90.75, 59.33 degrees
With the nearest neighbours (Å) after each atom.
Element x y z (fractional)
Cu 0.0837 0.3345 0.0762  4 S 2.36-2.38, 1 Cu 2.58
Cu 0.3345 0.0837 0.5762  4 S 2.36-2.38, 1 Cu 2.58
Cu 0.6655 0.9163 0.4238  4 S 2.36-2.38, 1 Cu 2.58
Cu 0.9163 0.6655 0.9238  4 S 2.36-2.38, 1 Cu 2.58
Hg 0.0776 0.9224 0.7500  2 S 2.39
Hg 0.2508 0.5166 0.4272  3 S 2.53-2.61
Hg 0.4834 0.7492 0.0728  3 S 2.53-2.61
Hg 0.5166 0.2508 0.9272  3 S 2.53-2.61
Hg 0.7492 0.4834 0.5728  3 S 2.53-2.61
Hg 0.9224 0.0776 0.2500  2 S 2.39
S 0.0575 0.2504 0.3892  2 Cu 2.36-2.37, 2 Hg 2.39-2.61
S 0.2221 0.5285 0.0676  2 Cu 2.38, 2 Hg 2.53-2.55
S 0.2504 0.0575 0.8892  2 Cu 2.36-2.37, 2 Hg 2.39-2.61
S 0.4715 0.7779 0.4324  2 Cu 2.38, 2 Hg 2.53-2.55
S 0.5285 0.2221 0.5676  2 Cu 2.38, 2 Hg 2.53-2.55
S 0.7496 0.9425 0.1108  2 Cu 2.36-2.37, 2 Hg 2.39-2.61
S 0.7779 0.4715 0.9324  2 Cu 2.38, 2 Hg 2.53-2.55
S 0.9425 0.7496 0.6108  2 Cu 2.36-2.37, 2 Hg 2.39-2.61

Values from the calculation:
Distance to the lowest polymorph of the same formula, kJ/mol of formula units: 0
Uncorrected formation energy, meV/atom: -103.9

11.
Computed, not measured: a relaxed structure of Cu2HgS2 at the PBE level of DFT.

Cell lengths 7.7688, 7.7688, 7.7688 Å; angles 146.49, 146.49, 48.11 degrees
With the nearest neighbours (Å) after each atom.
Element x y z (fractional)
Cu 0.2131 0.2131 0.0000  4 S 2.30
Cu 0.7869 0.7869 0.0000  4 S 2.30
Hg 0.5000 0.5000 0.0000  10 Cu 4.07-4.38, 8 S 4.19, 4 Hg 4.48
S 0.2500 0.7500 0.5000  4 Cu 2.30
S 0.7500 0.2500 0.5000  4 Cu 2.30

Values from the calculation:
Uncorrected formation energy, meV/atom: 49.5

12.
Computed, not measured: a relaxed structure of CuHgS2 at the PBE level of DFT.

Cell lengths 3.9273, 3.9273, 5.6705 Å; angles 90.00, 90.00, 90.00 degrees
With the nearest neighbours (Å) after each atom.
Element x y z (fractional)
Cu 0.0000 0.0000 0.0000  4 S 2.29
Hg 0.5000 0.5000 0.5000  4 S 2.57
S 0.0000 0.5000 0.2077  2 Cu 2.29
S 0.5000 0.0000 0.7923  2 Cu 2.29

Values from the calculation:
Uncorrected formation energy, meV/atom: -108.5